VASP calculation (SCAN) on CdCuOs2 at its PBEsol-relaxed geometry.

DFT formation energy	315	meV/atom
symmetry	No. 25
DFT total energy	-47.028	eV per atom
crystal system	orthorhombic

Structure (CIF):
```
data_CdCuOs2
_chemical_formula_sum 'Cd1 Cu1 Os2'
_symmetry_space_group_name_H-M 'P 1'
_symmetry_Int_Tables_number 1
_symmetry_space_group_name_Hall 'P 1'
_cell_length_a 2.772
_cell_length_b 3.719
_cell_length_c 5.739
_cell_angle_alpha 90.00
_cell_angle_beta 90.00
_cell_angle_gamma 90.00
loop_
_atom_site_label
_atom_site_type_symbol
_atom_site_fract_x
_atom_site_fract_y
_atom_site_fract_z
Cd1 Cd 0.000 0.000 0.520
Cu1 Cu 0.500 0.500 0.757
Os1 Os 0.000 0.000 0.016
Os2 Os 0.500 0.500 0.207
```